A plane-wave DFT calculation with PBEsol was carried out for a geometry-optimized BaSrY4Cu2O10 structure.

Cell and atoms, written as POSCAR:
```
BaSrY4Cu2O10
1.0
5.5952 0.0000 0.0000
0.0000 7.0803 0.0000
0.0000 0.0000 12.0031
Ba Sr Y Cu O
2 2 8 4 20
Cartesian
0.0000 2.2493 4.8630
0.0000 4.8309 10.8645
2.7976 1.2094 7.1006
2.7976 5.8709 1.0991
0.0000 0.9680 9.4547
0.0000 6.1123 3.4531
2.7976 2.5873 2.5481
2.7976 4.4930 8.5496
0.0000 6.0505 6.8990
0.0000 1.0298 0.8975
2.7976 4.5759 5.1198
2.7976 2.5044 11.1213
0.0000 3.7843 1.9237
0.0000 3.2960 7.9253
2.7976 6.8529 10.0654
2.7976 0.2274 4.0639
0.0000 1.2117 7.2014
0.0000 5.8686 1.1999
2.7976 2.3149 4.8588
2.7976 4.7654 10.8603
1.4395 6.3695 8.7022
4.1557 0.7108 2.7007
4.2059 4.2920 3.2690
1.3894 2.7883 9.2706
1.3894 4.2920 3.2690
4.2059 2.7883 9.2706
4.1557 6.3695 8.7022
1.4395 0.7108 2.7007
4.1538 0.5828 11.2174
1.4414 6.4975 5.2159
1.3608 2.9290 0.8079
4.2344 4.1513 6.8094
4.2344 2.9290 0.8079
1.3608 4.1513 6.8094
1.4414 0.5828 11.2174
4.1538 6.4975 5.2159
```

- Magnetic moment: 2.007 μB/f.u.
- ΔE_f (raw): -2747 meV/atom